#P
{"formula": "VAuN2F", "functional": "PBE with a Hubbard U", "state": "optimized geometry", "lattice": [[3.905, 0.000, 0.000], [0.000, 3.905, 0.000], [0.000, 0.000, 3.888]], "species": ["N", "N", "F", "Au", "V"], "fractional_positions": [[0.000, 0.500, 0.000], [0.500, 0.000, 0.000], [0.000, 0.000, 0.500], [0.500, 0.500, 0.500], [0.000, 0.000, 0.000]], "dos_ef_per_ev_fu": 2.332, "mass_density_g_cm3": 8.3}

=====

#Q
{"formula": "VAuN2F", "functional": "PBE with a Hubbard U", "state": "optimized geometry", "lattice": [[-3.961, -0.832, -0.056], [0.084, -0.669, 3.992], [-0.866, 4.078, 0.702]], "species": ["N", "N", "F", "Au", "V"], "fractional_positions": [[0.000, 0.500, 0.000], [0.500, 0.000, 0.000], [0.000, 0.000, 0.500], [0.000, 0.000, 0.000], [0.500, 0.500, 0.500]], "dos_ef_per_ev_fu": 3.486, "mass_density_g_cm3": 7.1}

=====

Going by the computed energies, the most stable comes first: #P, #Q.

=====

#P
{"formula": "WAuNF2", "functional": "PBE with a Hubbard U", "state": "optimized geometry", "lattice": [[4.708, 0.000, 0.000], [0.000, 4.708, 0.000], [0.000, 0.000, 3.779]], "species": ["N", "Au", "W", "F", "F"], "fractional_positions": [[0.000, 0.000, 0.500], [0.000, 0.000, 0.000], [0.500, 0.500, 0.500], [0.000, 0.500, 0.000], [0.500, 0.000, 0.000]], "dos_ef_per_ev_fu": 5.368, "mass_density_g_cm3": 8.6}

=====

#Q
{"formula": "WAuNF2", "functional": "PBE with a Hubbard U", "state": "optimized geometry", "lattice": [[4.250, 0.000, 0.000], [0.000, 4.250, 0.000], [0.000, 0.000, 4.019]], "species": ["N", "Au", "W", "F", "F"], "fractional_positions": [[0.000, 0.000, 0.500], [0.500, 0.500, 0.500], [0.000, 0.000, 0.000], [0.000, 0.500, 0.000], [0.500, 0.000, 0.000]], "dos_ef_per_ev_fu": 0.937, "mass_density_g_cm3": 9.9}

=====

Going by the computed energies, the most stable comes first: #Q, #P.